# SrLi3Hf

An optimized crystal structure of SrLi3Hf (PBE, Alexandria).

Values from the calculation:
For the formation energy, the calculation gives 0.901 eV per atom. Its magnetic moment is 3.29 μB/f.u. The distance to the lowest polymorph of the same formula is 0.000 eV per atom. As for the density of states at the Fermi level: 1.56 states/eV/atom. The calculation puts the final energy at -2.574 eV/atom.

a = 5.4266 Å, b = 5.4266 Å, c = 5.4266 Å
α = 90.00°, β = 90.00°, γ = 90.00°
Last column: magnetic moment on the atom in μB.
Sites, in units of the cell vectors:
Sr: 0.5000 0.5000 0.5000  0.05
Hf: 0.0000 0.0000 0.0000  1.41
Li: 0.0000 0.5000 0.0000  0.04
Li: 0.0000 0.0000 0.5000  0.03
Li: 0.5000 0.0000 0.0000  0.06